Entry 1:
AsRhSe3: relaxed, PBE. Values from VASP.

Calculated values
The calculation puts the polymorph energy (0 for the lowest one) at 0 kJ/mol of formula units. The calculation puts the magnetic moment at 0.00 μB/f.u. The calculation puts the density at 6020 kg/m3. For the formation energy from raw total energies, the calculation gives 0.527 eV/atom. The volume comes out at 22.88 Å³/atom.

```
&SYSTEM
  ibrav = 0, nat = 5, ntyp = 3
/
ATOMIC_SPECIES
As 74.92 As.upf
Rh 102.91 Rh.upf
Se 78.96 Se.upf
ATOMIC_POSITIONS crystal
As 0.0000 0.0000 0.0000
Rh 0.5000 0.5000 0.5000
Se 0.0000 0.5000 0.5000
Se 0.5000 0.0000 0.5000
Se 0.5000 0.5000 0.0000
CELL_PARAMETERS angstrom
4.8544 0.0000 0.0000
0.0000 4.8544 0.0000
0.0000 0.0000 4.8544
```

---

Entry 2:
GaHgRu2S: relaxed, PBE. Values from VASP.

Calculated values
The calculation puts the magnetic moment at 3.52 μB/f.u. The calculation puts the density at 7762 kg/m3. For the formation energy from raw total energies, the calculation gives 1.354 eV/atom. The volume comes out at 21.59 Å³/atom.

```
&SYSTEM
  ibrav = 0, nat = 5, ntyp = 4
/
ATOMIC_SPECIES
Ga 69.72 Ga.upf
Hg 200.59 Hg.upf
Ru 101.07 Ru.upf
S 32.06 S.upf
ATOMIC_POSITIONS crystal
Ga 0.0000 0.0000 0.0000
Hg 0.0000 0.0000 0.5000
Ru 0.0000 0.5000 0.0000
Ru 0.5000 0.0000 0.0000
S 0.5000 0.5000 0.5000
CELL_PARAMETERS angstrom
4.6906 0.0000 0.0000
0.0000 4.6906 0.0000
0.0000 0.0000 4.9057
```

---

Entry 3:
La8Ir5Rh: relaxed, PBE. Values from VASP.

Calculated values
Its energy of formation from the pure elements is -708 meV/atom. The calculation puts the magnetic moment at 0.00 μB/f.u. The calculation puts the density at 9891 kg/m3. The volume comes out at 26.08 Å³/atom.

```
&SYSTEM
  ibrav = 0, nat = 14, ntyp = 3
/
ATOMIC_SPECIES
La 138.91 La.upf
Ir 192.22 Ir.upf
Rh 102.91 Rh.upf
ATOMIC_POSITIONS crystal
La 0.2601 0.5076 0.6314
La 0.3713 0.7399 0.2475
La 0.3752 0.2427 0.2485
La 0.4924 0.1238 0.7525
La 0.7573 0.0058 0.1325
La 0.8733 0.6248 0.8675
La 0.8762 0.6287 0.3686
La 0.9942 0.1267 0.7515
Ir 0.1273 0.0031 0.3762
Ir 0.2490 0.8727 0.8758
Ir 0.5000 0.5000 0.0000
Ir 0.6268 0.7510 0.6238
Ir 0.9969 0.3732 0.1242
Rh 0.7500 0.2500 0.5000
CELL_PARAMETERS angstrom
-4.5021 4.5021 4.5043
4.5021 -4.5021 4.5043
4.5021 4.5021 -4.5043
```

---

Entry 4:
AcLuTh2: relaxed, PBE. Values from VASP.

Calculated values
The calculation puts the polymorph energy (0 for the lowest one) at 66 kJ/mol of formula units. Its energy of formation from the pure elements is 296 meV/atom. The calculation puts the magnetic moment at 0.00 μB/f.u. The calculation puts the density at 10407 kg/m3. The volume comes out at 34.55 Å³/atom.

```
&SYSTEM
  ibrav = 0, nat = 4, ntyp = 3
/
ATOMIC_SPECIES
Ac 227.00 Ac.upf
Lu 174.97 Lu.upf
Th 232.04 Th.upf
ATOMIC_POSITIONS crystal
Ac 0.0000 0.0000 0.0000
Lu 0.5000 0.5000 0.5000
Th 0.2500 0.2500 0.2500
Th 0.7500 0.7500 0.7500
CELL_PARAMETERS angstrom
0.0000 4.1034 4.1034
4.1034 0.0000 4.1034
4.1034 4.1034 0.0000
```

---

Entry 5:
GePPdCl2: relaxed, PBE. Values from VASP.

Calculated values
The calculation puts the polymorph energy (0 for the lowest one) at 0 kJ/mol of formula units. The calculation puts the magnetic moment at 0.00 μB/f.u. The calculation puts the density at 4205 kg/m3. For the formation energy from raw total energies, the calculation gives 0.268 eV/atom. The volume comes out at 22.19 Å³/atom.

```
&SYSTEM
  ibrav = 0, nat = 5, ntyp = 4
/
ATOMIC_SPECIES
Ge 72.64 Ge.upf
P 30.97 P.upf
Pd 106.42 Pd.upf
Cl 35.45 Cl.upf
ATOMIC_POSITIONS crystal
Ge 0.0000 0.0000 0.0000
P 0.5000 0.5000 0.0000
Pd 0.5000 0.5000 0.5000
Cl 0.0000 0.5000 0.5000
Cl 0.5000 0.0000 0.5000
CELL_PARAMETERS angstrom
4.7957 0.0000 0.0000
0.0000 4.7957 0.0000
0.0000 0.0000 4.8244
```

---

Entry 6:
NaBe2Al2: relaxed, PBE. Values from VASP.

Calculated values
The calculation puts the polymorph energy (0 for the lowest one) at 13 kJ/mol of formula units. Its energy of formation from the pure elements is 287 meV/atom. The calculation puts the magnetic moment at 0.00 μB/f.u. The calculation puts the density at 1926 kg/m3. The volume comes out at 16.38 Å³/atom.

```
&SYSTEM
  ibrav = 0, nat = 5, ntyp = 3
/
ATOMIC_SPECIES
Na 22.99 Na.upf
Be 9.01 Be.upf
Al 26.98 Al.upf
ATOMIC_POSITIONS crystal
Na 0.0000 0.0000 0.0000
Be 0.3928 0.3928 0.0000
Be 0.6072 0.6072 0.0000
Al 0.2500 0.7500 0.5000
Al 0.7500 0.2500 0.5000
CELL_PARAMETERS angstrom
-1.9787 1.9787 5.2299
1.9787 -1.9787 5.2299
1.9787 1.9787 -5.2299
```

---

Entry 7:
La7PbI12: relaxed, PBE. Values from VASP.

Calculated values
The calculation puts the magnetic moment at 0.00 μB/f.u. The calculation puts the density at 5193 kg/m3. For the formation energy from raw total energies, the calculation gives -1.328 eV/atom. The volume comes out at 43.21 Å³/atom.

```
&SYSTEM
  ibrav = 0, nat = 20, ntyp = 3
/
ATOMIC_SPECIES
La 138.91 La.upf
Pb 207.20 Pb.upf
I 126.90 I.upf
ATOMIC_POSITIONS crystal
La 0.0000 0.0000 0.0000
La 0.1587 0.3798 0.4516
La 0.3798 0.4516 0.1587
La 0.4516 0.1587 0.3798
La 0.5484 0.8413 0.6202
La 0.6202 0.5484 0.8413
La 0.8413 0.6202 0.5484
Pb 0.5000 0.5000 0.5000
I 0.0218 0.3437 0.1023
I 0.1023 0.0218 0.3437
I 0.1950 0.7307 0.5777
I 0.2693 0.4223 0.8050
I 0.3437 0.1023 0.0218
I 0.4223 0.8050 0.2693
I 0.5777 0.1950 0.7307
I 0.6563 0.8977 0.9782
I 0.7307 0.5777 0.1950
I 0.8050 0.2693 0.4223
I 0.8977 0.9782 0.6563
I 0.9782 0.6563 0.8977
CELL_PARAMETERS angstrom
8.3176 4.8022 3.6056
-8.3176 4.8022 3.6056
0.0000 -9.6044 3.6056
```

---

Entry 8:
Fe2CuSe: relaxed, PBE. Values from VASP.

Calculated values
The calculation puts the magnetic moment at 5.43 μB/f.u. The calculation puts the density at 7642 kg/m3. For the formation energy from raw total energies, the calculation gives 0.284 eV/atom. The volume comes out at 13.81 Å³/atom.

```
&SYSTEM
  ibrav = 0, nat = 4, ntyp = 3
/
ATOMIC_SPECIES
Fe 55.84 Fe.upf
Cu 63.55 Cu.upf
Se 78.96 Se.upf
ATOMIC_POSITIONS crystal
Fe 0.1775 0.0000 0.2324
Fe 0.8225 0.0000 0.7676
Cu 0.5000 0.5000 0.0000
Se 0.5000 0.5000 0.5000
CELL_PARAMETERS angstrom
2.7121 0.0000 0.0000
0.0000 3.9750 0.0000
-1.1090 0.0000 5.1235
```

---

Entry 9:
HfSe2N4: relaxed, PBE. Values from VASP.

Calculated values
The calculation puts the magnetic moment at 0.11 μB/f.u. The calculation puts the density at 6381 kg/m3. For the formation energy from raw total energies, the calculation gives 0.526 eV/atom. The volume comes out at 14.59 Å³/atom.

```
&SYSTEM
  ibrav = 0, nat = 7, ntyp = 3
/
ATOMIC_SPECIES
Hf 178.49 Hf.upf
Se 78.96 Se.upf
N 14.01 N.upf
ATOMIC_POSITIONS crystal
Hf 0.0000 0.0000 0.0000
Se 0.3612 0.3612 0.0000
Se 0.6388 0.6388 0.0000
N 0.0000 0.5000 0.5000
N 0.2057 0.2057 0.0000
N 0.5000 0.0000 0.5000
N 0.7943 0.7943 0.0000
CELL_PARAMETERS angstrom
-2.1980 2.1980 5.2846
2.1980 -2.1980 5.2846
2.1980 2.1980 -5.2846
```

---

Entry 10:
MnBeCd2Sn: relaxed, PBE. Values from VASP.

Calculated values
Its energy of formation from the pure elements is 919 meV/atom. The calculation puts the magnetic moment at 2.77 μB/f.u. The calculation puts the density at 5215 kg/m3. The volume comes out at 25.95 Å³/atom.

```
&SYSTEM
  ibrav = 0, nat = 5, ntyp = 4
/
ATOMIC_SPECIES
Mn 54.94 Mn.upf
Be 9.01 Be.upf
Cd 112.41 Cd.upf
Sn 118.71 Sn.upf
ATOMIC_POSITIONS crystal
Mn 0.0000 0.0000 0.0000
Be 0.5000 0.5000 0.5000
Cd 0.0000 0.5000 0.0000
Cd 0.5000 0.0000 0.0000
Sn 0.0000 0.0000 0.5000
CELL_PARAMETERS angstrom
5.1201 0.0000 0.0000
0.0000 5.1201 0.0000
0.0000 0.0000 4.9492
```

---

Entry 11:
Cd2Pt3Au2: relaxed, PBE. Values from VASP.

Calculated values
Its energy of formation from the pure elements is 90 meV/atom. The calculation puts the magnetic moment at 0.00 μB/f.u. The calculation puts the density at 13376 kg/m3. The volume comes out at 21.35 Å³/atom.

```
&SYSTEM
  ibrav = 0, nat = 7, ntyp = 3
/
ATOMIC_SPECIES
Cd 112.41 Cd.upf
Pt 195.08 Pt.upf
Au 196.97 Au.upf
ATOMIC_POSITIONS crystal
Cd 0.1583 0.0000 0.3136
Cd 0.8417 0.0000 0.6864
Pt 0.0000 0.5000 0.0000
Pt 0.2939 0.5000 0.5907
Pt 0.7061 0.5000 0.4093
Au 0.4093 0.5000 0.8158
Au 0.5907 0.5000 0.1842
CELL_PARAMETERS angstrom
2.8296 0.0000 0.0000
0.0000 4.2570 0.0000
-1.3964 0.0000 12.4081
```

---

Entry 12:
Li2LaSi2: relaxed, PBE. Values from VASP.

Calculated values
The calculation puts the polymorph energy (0 for the lowest one) at 191 kJ/mol of formula units. The calculation puts the magnetic moment at 0.04 μB/f.u. The calculation puts the density at 3506 kg/m3. For the formation energy from raw total energies, the calculation gives -0.099 eV/atom. The volume comes out at 19.79 Å³/atom.

```
&SYSTEM
  ibrav = 0, nat = 10, ntyp = 3
/
ATOMIC_SPECIES
Li 6.94 Li.upf
La 138.91 La.upf
Si 28.09 Si.upf
ATOMIC_POSITIONS crystal
Li 0.1723 0.3277 0.0000
Li 0.3277 0.8277 0.0000
Li 0.6723 0.1723 0.0000
Li 0.8277 0.6723 0.0000
La 0.0000 0.0000 0.5000
La 0.5000 0.5000 0.5000
Si 0.1099 0.6099 0.5000
Si 0.3901 0.1099 0.5000
Si 0.6099 0.8901 0.5000
Si 0.8901 0.3901 0.5000
CELL_PARAMETERS angstrom
7.7649 0.0000 0.0000
0.0000 7.7649 0.0000
0.0000 0.0000 3.2830
```